1.
{"formula": "BaSb2TeIr", "functional": "PBE-GGA", "state": "relaxed", "cell": [[5.155, 0.000, 0.000], [0.000, 5.155, 0.000], [0.000, 0.000, 6.009]], "species": ["Ba", "Sb", "Sb", "Te", "Ir"], "frac_coords": [[0.000, 0.000, 0.000], [0.000, 0.500, 0.500], [0.500, 0.000, 0.500], [0.500, 0.500, 0.000], [0.500, 0.500, 0.500]], "volume_a3_per_atom": 31.93, "energy_ev_per_atom": -4.709, "crystal_system": "tetragonal", "relative_energy_mev_per_atom": 0, "e_form_raw_ev_per_atom": -0.275, "spacegroup": "P4/mmm"}

***

2.
{"formula": "BaZn2SbIr", "functional": "PBE-GGA", "state": "relaxed", "cell": [[4.963, 0.000, 0.000], [0.000, 4.963, 0.000], [0.000, 0.000, 5.206]], "species": ["Ba", "Zn", "Zn", "Sb", "Ir"], "frac_coords": [[0.000, 0.000, 0.000], [0.000, 0.500, 0.500], [0.500, 0.000, 0.500], [0.500, 0.500, 0.000], [0.500, 0.500, 0.500]], "volume_a3_per_atom": 25.64, "energy_ev_per_atom": -3.820, "crystal_system": "tetragonal", "e_form_raw_ev_per_atom": -0.329, "spacegroup": "P4/mmm"}

***

3.
{"formula": "BaSc2Ir2", "functional": "PBE-GGA", "state": "relaxed", "cell": [[4.498, 0.000, 0.000], [0.000, 4.498, 0.000], [0.000, 0.000, 11.651]], "species": ["Ba", "Ba", "Sc", "Sc", "Sc", "Sc", "Ir", "Ir", "Ir", "Ir"], "frac_coords": [[0.000, 0.000, 0.000], [0.500, 0.500, 0.500], [0.000, 0.500, 0.250], [0.000, 0.500, 0.750], [0.500, 0.000, 0.250], [0.500, 0.000, 0.750], [0.000, 0.000, 0.384], [0.000, 0.000, 0.616], [0.500, 0.500, 0.116], [0.500, 0.500, 0.884]], "volume_a3_per_atom": 23.58, "energy_ev_per_atom": -7.103, "crystal_system": "tetragonal", "relative_energy_mev_per_atom": 0, "spacegroup": "I4/mmm"}

***

4.
{"formula": "BaSc2Ir", "functional": "PBE-GGA", "state": "relaxed", "cell": [[4.298, 0.000, 0.000], [0.000, 4.298, 0.000], [0.000, 0.000, 10.103]], "species": ["Ba", "Ba", "Sc", "Sc", "Sc", "Sc", "Ir", "Ir"], "frac_coords": [[0.000, 0.000, 0.000], [0.500, 0.500, 0.500], [0.000, 0.000, 0.500], [0.000, 0.500, 0.250], [0.500, 0.000, 0.750], [0.500, 0.500, 0.000], [0.000, 0.500, 0.750], [0.500, 0.000, 0.250]], "volume_a3_per_atom": 23.33, "energy_ev_per_atom": -5.596, "crystal_system": "tetragonal", "relative_energy_mev_per_atom": 607, "spacegroup": "I-4m2"}

***

5.
{"formula": "BaSc2Ir", "functional": "PBE-GGA", "state": "relaxed", "cell": [[7.185, 0.000, 0.000], [0.000, 4.141, 0.000], [-2.371, 0.000, 8.171]], "species": ["Ba", "Ba", "Sc", "Sc", "Sc", "Sc", "Ir", "Ir"], "frac_coords": [[0.000, 0.000, 0.000], [0.500, 0.500, 0.000], [0.212, 0.000, 0.636], [0.288, 0.500, 0.364], [0.712, 0.500, 0.636], [0.788, 0.000, 0.364], [0.000, 0.500, 0.500], [0.500, 0.000, 0.500]], "volume_a3_per_atom": 30.39, "energy_ev_per_atom": -6.198, "crystal_system": "monoclinic", "relative_energy_mev_per_atom": 6, "spacegroup": "C2/m"}

***

6.
{"formula": "Ba2ScIr", "functional": "PBE-GGA", "state": "relaxed", "cell": [[4.487, 0.000, 0.000], [-2.244, 3.886, 0.000], [0.000, 0.000, 27.534]], "species": ["Ba", "Ba", "Ba", "Ba", "Ba", "Ba", "Sc", "Sc", "Sc", "Ir", "Ir", "Ir"], "frac_coords": [[0.000, 0.000, 0.000], [0.000, 0.000, 0.181], [0.333, 0.667, 0.667], [0.333, 0.667, 0.847], [0.667, 0.333, 0.333], [0.667, 0.333, 0.514], [0.000, 0.000, 0.757], [0.333, 0.667, 0.424], [0.667, 0.333, 0.090], [0.000, 0.000, 0.424], [0.333, 0.667, 0.090], [0.667, 0.333, 0.757]], "volume_a3_per_atom": 40.01, "energy_ev_per_atom": -4.981, "crystal_system": "trigonal", "relative_energy_mev_per_atom": 0, "spacegroup": "R3m"}

***

7.
{"formula": "BaSc3Ir", "functional": "PBE-GGA", "state": "relaxed", "cell": [[5.069, 0.000, 0.000], [0.000, 5.069, 0.000], [0.000, 0.000, 5.069]], "species": ["Ba", "Sc", "Sc", "Sc", "Ir"], "frac_coords": [[0.000, 0.000, 0.000], [0.000, 0.000, 0.500], [0.000, 0.500, 0.000], [0.500, 0.000, 0.000], [0.500, 0.500, 0.500]], "volume_a3_per_atom": 26.05, "energy_ev_per_atom": -4.342, "crystal_system": "cubic", "relative_energy_mev_per_atom": 1913, "spacegroup": "Pm-3m"}

***

8.
{"formula": "BaSc2Ir", "functional": "PBE-GGA", "state": "relaxed", "cell": [[6.301, 0.000, 0.000], [0.000, 6.301, 0.000], [0.000, 0.000, 15.579]], "species": ["Ba", "Ba", "Ba", "Ba", "Sc", "Sc", "Sc", "Sc", "Sc", "Sc", "Sc", "Sc", "Ir", "Ir", "Ir", "Ir"], "frac_coords": [[0.000, 0.250, 0.375], [0.000, 0.750, 0.625], [0.500, 0.250, 0.125], [0.500, 0.750, 0.875], [0.000, 0.000, 0.000], [0.000, 0.500, 0.000], [0.250, 0.250, 0.750], [0.250, 0.750, 0.250], [0.500, 0.000, 0.500], [0.500, 0.500, 0.500], [0.750, 0.250, 0.750], [0.750, 0.750, 0.250], [0.000, 0.250, 0.875], [0.000, 0.750, 0.125], [0.500, 0.250, 0.625], [0.500, 0.750, 0.375]], "volume_a3_per_atom": 38.66, "energy_ev_per_atom": -5.596, "crystal_system": "tetragonal", "relative_energy_mev_per_atom": 608, "spacegroup": "I4_1/amd"}

***

9.
{"formula": "Ba2ScIr", "functional": "PBE-GGA", "state": "relaxed", "cell": [[7.817, 0.000, 0.000], [0.000, 7.817, 0.000], [0.000, 0.000, 7.817]], "species": ["Ba", "Ba", "Ba", "Ba", "Ba", "Ba", "Ba", "Ba", "Sc", "Sc", "Sc", "Sc", "Ir", "Ir", "Ir", "Ir"], "frac_coords": [[0.250, 0.250, 0.250], [0.250, 0.250, 0.750], [0.250, 0.750, 0.250], [0.250, 0.750, 0.750], [0.750, 0.250, 0.250], [0.750, 0.250, 0.750], [0.750, 0.750, 0.250], [0.750, 0.750, 0.750], [0.000, 0.000, 0.000], [0.000, 0.500, 0.500], [0.500, 0.000, 0.500], [0.500, 0.500, 0.000], [0.000, 0.000, 0.500], [0.000, 0.500, 0.000], [0.500, 0.000, 0.000], [0.500, 0.500, 0.500]], "volume_a3_per_atom": 29.85, "energy_ev_per_atom": -4.265, "crystal_system": "cubic", "relative_energy_mev_per_atom": 716, "spacegroup": "Fm-3m"}

***

10.
{"formula": "BaSc4Ir", "functional": "PBE-GGA", "state": "relaxed", "cell": [[0.000, 4.185, 4.185], [4.185, 0.000, 4.185], [4.185, 4.185, 0.000]], "species": ["Ba", "Sc", "Sc", "Sc", "Sc", "Ir"], "frac_coords": [[0.000, 0.000, 0.000], [0.378, 0.378, 0.378], [0.378, 0.378, 0.867], [0.378, 0.867, 0.378], [0.867, 0.378, 0.378], [0.750, 0.750, 0.750]], "volume_a3_per_atom": 24.43, "energy_ev_per_atom": -5.489, "crystal_system": "cubic", "spacegroup": "F-43m"}

***

11.
{"formula": "Ba2ScIr2", "functional": "PBE-GGA", "state": "relaxed", "cell": [[7.248, 0.000, 0.000], [0.000, 7.248, 0.000], [0.000, 0.000, 5.181]], "species": ["Ba", "Ba", "Ba", "Ba", "Sc", "Sc", "Ir", "Ir", "Ir", "Ir"], "frac_coords": [[0.176, 0.324, 0.000], [0.324, 0.824, 0.000], [0.676, 0.176, 0.000], [0.824, 0.676, 0.000], [0.000, 0.000, 0.500], [0.500, 0.500, 0.500], [0.124, 0.624, 0.500], [0.376, 0.124, 0.500], [0.624, 0.876, 0.500], [0.876, 0.376, 0.500]], "volume_a3_per_atom": 27.22, "energy_ev_per_atom": -5.679, "crystal_system": "tetragonal", "spacegroup": "P4/mbm"}

***

12.
{"formula": "BaSc3Ir", "functional": "PBE-GGA", "state": "relaxed", "cell": [[5.229, 0.000, 0.000], [0.000, 5.229, 0.000], [0.000, 0.000, 5.229]], "species": ["Ba", "Sc", "Sc", "Sc", "Ir"], "frac_coords": [[0.000, 0.000, 0.000], [0.000, 0.500, 0.500], [0.500, 0.000, 0.500], [0.500, 0.500, 0.000], [0.500, 0.500, 0.500]], "volume_a3_per_atom": 28.59, "energy_ev_per_atom": -6.255, "crystal_system": "cubic", "relative_energy_mev_per_atom": 0, "spacegroup": "Pm-3m"}

***

13.
{"formula": "BaSc2Ir", "functional": "PBE-GGA", "state": "relaxed", "cell": [[7.115, 0.000, 0.000], [0.000, 7.115, 0.000], [0.000, 0.000, 7.115]], "species": ["Ba", "Ba", "Ba", "Ba", "Sc", "Sc", "Sc", "Sc", "Sc", "Sc", "Sc", "Sc", "Ir", "Ir", "Ir", "Ir"], "frac_coords": [[0.000, 0.000, 0.000], [0.000, 0.500, 0.500], [0.500, 0.000, 0.500], [0.500, 0.500, 0.000], [0.250, 0.250, 0.250], [0.250, 0.250, 0.750], [0.250, 0.750, 0.250], [0.250, 0.750, 0.750], [0.750, 0.250, 0.250], [0.750, 0.250, 0.750], [0.750, 0.750, 0.250], [0.750, 0.750, 0.750], [0.000, 0.000, 0.500], [0.000, 0.500, 0.000], [0.500, 0.000, 0.000], [0.500, 0.500, 0.500]], "volume_a3_per_atom": 22.51, "energy_ev_per_atom": -5.794, "crystal_system": "cubic", "relative_energy_mev_per_atom": 410, "spacegroup": "Fm-3m"}

***

14.
{"formula": "BaSc2Ir", "functional": "PBE-GGA", "state": "relaxed", "cell": [[4.152, 0.000, 0.000], [-2.076, 3.596, 0.000], [0.000, 0.000, 24.441]], "species": ["Ba", "Ba", "Ba", "Sc", "Sc", "Sc", "Sc", "Sc", "Sc", "Ir", "Ir", "Ir"], "frac_coords": [[0.000, 0.000, 0.000], [0.333, 0.667, 0.667], [0.667, 0.333, 0.333], [0.000, 0.000, 0.546], [0.000, 0.000, 0.789], [0.333, 0.667, 0.213], [0.333, 0.667, 0.455], [0.667, 0.333, 0.122], [0.667, 0.333, 0.880], [0.000, 0.000, 0.168], [0.333, 0.667, 0.835], [0.667, 0.333, 0.501]], "volume_a3_per_atom": 30.41, "energy_ev_per_atom": -6.204, "crystal_system": "trigonal", "relative_energy_mev_per_atom": 0, "spacegroup": "R3m"}

***

15.
{"formula": "Ba2ScIr", "functional": "PBE-GGA", "state": "relaxed", "cell": [[4.207, 0.000, 0.000], [-2.104, 3.644, 0.000], [0.000, 0.000, 30.226]], "species": ["Ba", "Ba", "Ba", "Ba", "Ba", "Ba", "Sc", "Sc", "Sc", "Ir", "Ir", "Ir"], "frac_coords": [[0.000, 0.000, 0.227], [0.000, 0.000, 0.773], [0.333, 0.667, 0.440], [0.333, 0.667, 0.894], [0.667, 0.333, 0.106], [0.667, 0.333, 0.560], [0.000, 0.000, 0.000], [0.333, 0.667, 0.667], [0.667, 0.333, 0.333], [0.000, 0.000, 0.500], [0.333, 0.667, 0.167], [0.667, 0.333, 0.833]], "volume_a3_per_atom": 38.61, "energy_ev_per_atom": -4.314, "crystal_system": "trigonal", "relative_energy_mev_per_atom": 667, "spacegroup": "R-3m"}

***

16.
{"formula": "BaScIr", "functional": "PBE-GGA", "state": "relaxed", "cell": [[4.250, 0.000, 0.000], [-2.125, 3.681, 0.000], [0.000, 0.000, 6.095]], "species": ["Ba", "Sc", "Ir"], "frac_coords": [[0.000, 0.000, 0.000], [0.333, 0.667, 0.529], [0.667, 0.333, 0.672]], "volume_a3_per_atom": 31.78, "energy_ev_per_atom": -5.946, "crystal_system": "trigonal", "relative_energy_mev_per_atom": 32, "spacegroup": "P3m1"}

***

17.
{"formula": "Ba2Sc2Ir", "functional": "PBE-GGA", "state": "relaxed", "cell": [[7.010, 0.000, 0.000], [0.000, 7.010, 0.000], [0.000, 0.000, 6.285]], "species": ["Ba", "Ba", "Ba", "Ba", "Sc", "Sc", "Sc", "Sc", "Ir", "Ir"], "frac_coords": [[0.184, 0.316, 0.000], [0.316, 0.816, 0.000], [0.684, 0.184, 0.000], [0.816, 0.684, 0.000], [0.170, 0.670, 0.500], [0.330, 0.170, 0.500], [0.670, 0.830, 0.500], [0.830, 0.330, 0.500], [0.000, 0.000, 0.500], [0.500, 0.500, 0.500]], "volume_a3_per_atom": 30.88, "energy_ev_per_atom": -5.105, "crystal_system": "tetragonal", "spacegroup": "P4/mbm"}

***

18.
{"formula": "BaSc2Ir", "functional": "PBE-GGA", "state": "relaxed", "cell": [[4.205, 0.000, 0.000], [0.000, 4.730, 0.000], [0.000, 0.000, 4.821]], "species": ["Ba", "Sc", "Sc", "Ir"], "frac_coords": [[0.000, 0.000, 0.000], [0.000, 0.500, 0.500], [0.500, 0.000, 0.500], [0.500, 0.500, 0.000]], "volume_a3_per_atom": 23.98, "energy_ev_per_atom": -5.629, "crystal_system": "orthorhombic", "relative_energy_mev_per_atom": 575, "spacegroup": "Pmmm"}

***

19.
{"formula": "Ba2ScIr", "functional": "PBE-GGA", "state": "relaxed", "cell": [[5.059, 0.000, 0.000], [0.000, 16.165, 0.000], [0.000, 0.000, 4.471]], "species": ["Ba", "Ba", "Ba", "Ba", "Sc", "Sc", "Ir", "Ir"], "frac_coords": [[0.000, 0.132, 0.000], [0.000, 0.868, 0.000], [0.500, 0.368, 0.000], [0.500, 0.632, 0.000], [0.000, 0.500, 0.500], [0.500, 0.000, 0.500], [0.000, 0.000, 0.500], [0.500, 0.500, 0.500]], "volume_a3_per_atom": 45.70, "energy_ev_per_atom": -4.883, "crystal_system": "orthorhombic", "relative_energy_mev_per_atom": 98, "spacegroup": "Cmmm"}

***

20.
{"formula": "BaSc2Ir", "functional": "PBE-GGA", "state": "relaxed", "cell": [[4.175, 0.000, 0.000], [0.000, 4.604, 0.000], [-2.033, 0.000, 6.604]], "species": ["Ba", "Sc", "Sc", "Ir"], "frac_coords": [[0.000, 0.000, 0.000], [0.246, 0.500, 0.506], [0.720, 0.000, 0.452], [0.630, 0.500, 0.267]], "volume_a3_per_atom": 31.73, "energy_ev_per_atom": -6.051, "crystal_system": "monoclinic", "relative_energy_mev_per_atom": 152, "spacegroup": "Pm"}

***

| no. | M_tot (μB/cell) |
| --- | --- |
| 1 | 0.0 |
| 2 | 0.0 |
| 3 | 0.0 |
| 4 | 0.0 |
| 5 | 0.0 |
| 6 | 0.0 |
| 7 | 0.0 |
| 8 | 0.0 |
| 9 | 0.0 |
| 10 | 0.8 |
| 11 | 0.0 |
| 12 | 0.0 |
| 13 | 0.0 |
| 14 | 0.0 |
| 15 | 5.1 |
| 16 | 0.0 |
| 17 | 0.0 |
| 18 | 0.0 |
| 19 | 0.0 |
| 20 | 0.0 |